Compound: La12Nd7Pu
Source: the Alexandria database
Functional: PBE-GGA
Structure: relaxed

Lattice parameters (Å, degrees): 11.600 11.600 11.600 116.66 116.66 116.66
Fractional coordinates of all 20 atoms:
1 La 0.001 0.408 0.594
2 La 0.060 0.060 0.416
3 La 0.060 0.416 0.060
4 La 0.406 0.999 0.592
5 La 0.408 0.594 0.001
6 La 0.416 0.060 0.060
7 La 0.584 0.940 0.940
8 La 0.592 0.406 0.999
9 La 0.594 0.001 0.408
10 La 0.940 0.584 0.940
11 La 0.940 0.940 0.584
12 La 0.999 0.592 0.406
13 Nd 0.000 0.000 0.000
14 Nd 0.143 0.390 0.389
15 Nd 0.389 0.143 0.390
16 Nd 0.390 0.389 0.143
17 Nd 0.610 0.611 0.857
18 Nd 0.611 0.857 0.610
19 Nd 0.857 0.610 0.611
20 Pu 0.500 0.500 0.500

Computed properties:
Formation energy from the elements ... 0.172 eV/atom
Space group ... No. 148

Compound: LaNdPu2
Source: the Alexandria database
Functional: PBE-GGA
Structure: relaxed

Lattice parameters (Å, degrees): 4.951 4.951 5.029 90.00 90.00 90.00
Fractional coordinates of all 4 atoms:
1 La 0.000 0.000 0.000
2 Nd 0.500 0.500 0.000
3 Pu 0.000 0.500 0.500
4 Pu 0.500 0.000 0.500

Computed properties:
Formation energy from the elements ... 0.224 eV/atom
Space group ... No. 123

Compound: La12Nd3Pu
Source: the Alexandria database
Functional: PBE-GGA
Structure: relaxed

Lattice parameters (Å, degrees): 5.219 5.219 20.901 90.00 90.00 90.00
Fractional coordinates of all 16 atoms:
1 La 0.000 0.000 0.000
2 La 0.000 0.000 0.247
3 La 0.000 0.000 0.500
4 La 0.000 0.000 0.753
5 La 0.000 0.500 0.119
6 La 0.000 0.500 0.373
7 La 0.000 0.500 0.627
8 La 0.000 0.500 0.881
9 La 0.500 0.000 0.119
10 La 0.500 0.000 0.373
11 La 0.500 0.000 0.627
12 La 0.500 0.000 0.881
13 Nd 0.500 0.500 0.248
14 Nd 0.500 0.500 0.500
15 Nd 0.500 0.500 0.752
16 Pu 0.500 0.500 0.000

Computed properties:
Formation energy from the elements ... 0.033 eV/atom
Space group ... No. 123

Compound: La2Nd6Pu
Source: the Alexandria database
Functional: PBE-GGA
Structure: relaxed

Lattice parameters (Å, degrees): 11.229 11.229 6.738 107.40 107.40 50.76
Fractional coordinates of all 18 atoms:
1 La 0.019 0.374 0.196
2 La 0.374 0.019 0.696
3 La 0.626 0.981 0.304
4 La 0.981 0.626 0.804
5 Nd 0.026 0.701 0.363
6 Nd 0.290 0.658 0.975
7 Nd 0.299 0.974 0.137
8 Nd 0.338 0.339 0.589
9 Nd 0.339 0.338 0.089
10 Nd 0.342 0.710 0.525
11 Nd 0.658 0.290 0.475
12 Nd 0.661 0.662 0.911
13 Nd 0.662 0.661 0.411
14 Nd 0.701 0.026 0.863
15 Nd 0.710 0.342 0.025
16 Nd 0.974 0.299 0.637
17 Pu 0.000 0.000 0.250
18 Pu 0.000 0.000 0.750

Computed properties:
Formation energy from the elements ... 0.112 eV/atom
Space group ... No. 15

Compound: LaNd14Pu
Source: the Alexandria database
Functional: PBE-GGA
Structure: relaxed

Lattice parameters (Å, degrees): 7.339 7.339 10.360 90.00 90.00 90.00
Fractional coordinates of all 16 atoms:
1 La 0.000 0.000 0.000
2 Nd 0.000 0.000 0.500
3 Nd 0.000 0.500 0.000
4 Nd 0.000 0.500 0.500
5 Nd 0.253 0.253 0.248
6 Nd 0.253 0.253 0.752
7 Nd 0.253 0.747 0.248
8 Nd 0.253 0.747 0.752
9 Nd 0.500 0.000 0.000
10 Nd 0.500 0.000 0.500
11 Nd 0.500 0.500 0.500
12 Nd 0.747 0.253 0.248
13 Nd 0.747 0.253 0.752
14 Nd 0.747 0.747 0.248
15 Nd 0.747 0.747 0.752
16 Pu 0.500 0.500 0.000

Computed properties:
Formation energy from the elements ... 0.043 eV/atom
Space group ... No. 123

Compound: La4Nd3PuS8
Source: the Alexandria database
Functional: PBE-GGA
Structure: relaxed

Lattice parameters (Å, degrees): 8.206 8.206 8.206 59.92 59.92 59.92
Fractional coordinates of all 16 atoms:
1 La 0.000 0.000 0.000
2 La 0.000 0.500 0.500
3 La 0.500 0.000 0.500
4 La 0.500 0.500 0.000
5 Nd 0.000 0.000 0.500
6 Nd 0.000 0.500 0.000
7 Nd 0.500 0.000 0.000
8 Pu 0.500 0.500 0.500
9 S 0.248 0.248 0.248
10 S 0.252 0.745 0.745
11 S 0.255 0.255 0.748
12 S 0.255 0.748 0.255
13 S 0.745 0.252 0.745
14 S 0.745 0.745 0.252
15 S 0.748 0.255 0.255
16 S 0.752 0.752 0.752

Computed properties:
Space group ... No. 166
Formation energy from raw total energies ... -2.0690 eV/atom

Compound: La3Nd4PuS8
Source: the Alexandria database
Functional: PBE-GGA
Structure: relaxed

Lattice parameters (Å, degrees): 8.176 8.176 8.176 60.09 60.09 60.09
Fractional coordinates of all 16 atoms:
1 La 0.000 0.500 0.500
2 La 0.500 0.000 0.500
3 La 0.500 0.500 0.000
4 Nd 0.000 0.000 0.500
5 Nd 0.000 0.500 0.000
6 Nd 0.500 0.000 0.000
7 Nd 0.500 0.500 0.500
8 Pu 0.000 0.000 0.000
9 S 0.243 0.753 0.753
10 S 0.247 0.247 0.757
11 S 0.247 0.757 0.247
12 S 0.248 0.248 0.248
13 S 0.752 0.752 0.752
14 S 0.753 0.243 0.753
15 S 0.753 0.753 0.243
16 S 0.757 0.247 0.247

Computed properties:
Space group ... No. 166
Formation energy from raw total energies ... -2.0500 eV/atom

Compound: LaNd2PuS4
Source: the Alexandria database
Functional: PBE-GGA
Structure: relaxed

Lattice parameters (Å, degrees): 7.043 4.053 7.064 90.00 109.30 90.00
Fractional coordinates of all 8 atoms:
1 La 0.000 0.000 0.000
2 Nd 0.500 0.000 0.500
3 Nd 0.500 0.500 0.000
4 Pu 0.000 0.500 0.500
5 S 0.245 0.000 0.742
6 S 0.250 0.500 0.256
7 S 0.750 0.500 0.744
8 S 0.755 0.000 0.258

Computed properties:
Space group ... No. 10
Formation energy from raw total energies ... -2.0021 eV/atom

Compound: La3Nd2PuS6
Source: the Alexandria database
Functional: PBE-GGA
Structure: relaxed

Lattice parameters (Å, degrees): 9.157 9.157 8.218 103.04 103.04 25.75
Fractional coordinates of all 12 atoms:
1 La 0.000 0.000 0.000
2 La 0.333 0.333 0.665
3 La 0.667 0.667 0.335
4 Nd 0.335 0.335 0.170
5 Nd 0.665 0.665 0.830
6 Pu 0.000 0.000 0.500
7 S 0.163 0.163 0.585
8 S 0.168 0.168 0.080
9 S 0.500 0.500 0.260
10 S 0.500 0.500 0.740
11 S 0.832 0.832 0.920
12 S 0.837 0.837 0.415

Computed properties:
Space group ... No. 12
Formation energy from raw total energies ... -2.0632 eV/atom

Compound: LaNd3Pu2S6
Source: the Alexandria database
Functional: PBE-GGA
Structure: relaxed

Lattice parameters (Å, degrees): 7.008 7.008 7.027 99.56 99.56 120.00
Fractional coordinates of all 12 atoms:
1 La 0.000 0.000 0.000
2 Nd 0.164 0.836 0.500
3 Nd 0.500 0.500 0.500
4 Nd 0.836 0.164 0.500
5 Pu 0.333 0.667 0.000
6 Pu 0.667 0.333 0.000
7 S 0.082 0.424 0.246
8 S 0.261 0.261 0.757
9 S 0.424 0.082 0.246
10 S 0.576 0.918 0.754
11 S 0.739 0.739 0.243
12 S 0.918 0.576 0.754

Computed properties:
Space group ... No. 12
Formation energy from raw total energies ... -1.9708 eV/atom

Compound: La2NdPuSb4
Source: the Alexandria database
Functional: PBE-GGA
Structure: relaxed

Lattice parameters (Å, degrees): 7.880 4.560 7.882 90.00 109.49 90.00
Fractional coordinates of all 8 atoms:
1 La 0.000 0.000 0.000
2 La 0.000 0.500 0.500
3 Nd 0.500 0.000 0.500
4 Pu 0.500 0.500 0.000
5 Sb 0.257 0.500 0.249
6 Sb 0.260 0.000 0.757
7 Sb 0.740 0.000 0.243
8 Sb 0.743 0.500 0.751

Computed properties:
Space group ... No. 10
Formation energy from raw total energies ... -1.0706 eV/atom

Compound: La4NdPu3Se8
Source: the Alexandria database
Functional: PBE-GGA
Structure: relaxed

Lattice parameters (Å, degrees): 8.504 8.504 8.504 59.74 59.74 59.74
Fractional coordinates of all 16 atoms:
1 La 0.000 0.000 0.000
2 La 0.000 0.500 0.500
3 La 0.500 0.000 0.500
4 La 0.500 0.500 0.000
5 Nd 0.500 0.500 0.500
6 Pu 0.000 0.000 0.500
7 Pu 0.000 0.500 0.000
8 Pu 0.500 0.000 0.000
9 Se 0.243 0.748 0.748
10 Se 0.246 0.246 0.246
11 Se 0.252 0.252 0.757
12 Se 0.252 0.757 0.252
13 Se 0.748 0.243 0.748
14 Se 0.748 0.748 0.243
15 Se 0.754 0.754 0.754
16 Se 0.757 0.252 0.252

Computed properties:
Space group ... No. 166
Formation energy from raw total energies ... -1.8088 eV/atom

Compound: LaNd3Pu2Se6
Source: the Alexandria database
Functional: PBE-GGA
Structure: relaxed

Lattice parameters (Å, degrees): 7.296 7.296 7.326 99.56 99.56 120.01
Fractional coordinates of all 12 atoms:
1 La 0.000 0.000 0.000
2 Nd 0.164 0.836 0.500
3 Nd 0.500 0.500 0.500
4 Nd 0.836 0.164 0.500
5 Pu 0.333 0.667 0.000
6 Pu 0.667 0.333 0.000
7 Se 0.083 0.423 0.247
8 Se 0.259 0.259 0.755
9 Se 0.423 0.083 0.247
10 Se 0.577 0.917 0.753
11 Se 0.741 0.741 0.245
12 Se 0.917 0.577 0.753

Computed properties:
Space group ... No. 12
Formation energy from raw total energies ... -1.7743 eV/atom

Compound: La3Nd2PuSe6
Source: the Alexandria database
Functional: PBE-GGA
Structure: relaxed

Lattice parameters (Å, degrees): 8.589 8.589 10.466 107.14 107.14 26.51
Fractional coordinates of all 12 atoms:
1 La 0.000 0.000 0.000
2 La 0.173 0.173 0.800
3 La 0.827 0.827 0.200
4 Nd 0.161 0.161 0.361
5 Nd 0.839 0.839 0.639
6 Pu 0.000 0.000 0.500
7 Se 0.185 0.185 0.094
8 Se 0.350 0.350 0.431
9 Se 0.499 0.499 0.235
10 Se 0.501 0.501 0.765
11 Se 0.650 0.650 0.569
12 Se 0.815 0.815 0.906

Computed properties:
Space group ... No. 12
Formation energy from raw total energies ... -1.6282 eV/atom

Compound: LaNdPu2Se4
Source: the Alexandria database
Functional: PBE-GGA
Structure: relaxed

Lattice parameters (Å, degrees): 7.268 4.197 7.328 90.00 109.31 90.00
Fractional coordinates of all 8 atoms:
1 La 0.000 0.000 0.000
2 Nd 0.500 0.500 0.000
3 Pu 0.000 0.500 0.500
4 Pu 0.500 0.000 0.500
5 Se 0.249 0.000 0.741
6 Se 0.256 0.500 0.261
7 Se 0.744 0.500 0.739
8 Se 0.751 0.000 0.259

Computed properties:
Space group ... No. 10
Formation energy from raw total energies ... -1.7343 eV/atom

Compound: La4Nd3PuSe8
Source: the Alexandria database
Functional: PBE-GGA
Structure: relaxed

Lattice parameters (Å, degrees): 8.528 8.528 8.528 59.97 59.97 59.97
Fractional coordinates of all 16 atoms:
1 La 0.000 0.000 0.000
2 La 0.000 0.500 0.500
3 La 0.500 0.000 0.500
4 La 0.500 0.500 0.000
5 Nd 0.000 0.000 0.500
6 Nd 0.000 0.500 0.000
7 Nd 0.500 0.000 0.000
8 Pu 0.500 0.500 0.500
9 Se 0.248 0.248 0.248
10 Se 0.251 0.746 0.746
11 Se 0.254 0.254 0.749
12 Se 0.254 0.749 0.254
13 Se 0.746 0.251 0.746
14 Se 0.746 0.746 0.251
15 Se 0.749 0.254 0.254
16 Se 0.752 0.752 0.752

Computed properties:
Space group ... No. 166
Formation energy from raw total energies ... -1.8872 eV/atom

Compound: La2NdPu3Se6
Source: the Alexandria database
Functional: PBE-GGA
Structure: relaxed

Lattice parameters (Å, degrees): 9.446 9.446 8.458 103.41 103.41 25.72
Fractional coordinates of all 12 atoms:
1 La 0.166 0.166 0.331
2 La 0.834 0.834 0.669
3 Nd 0.500 0.500 0.000
4 Pu 0.167 0.167 0.834
5 Pu 0.500 0.500 0.500
6 Pu 0.833 0.833 0.166
7 Se 0.003 0.003 0.747
8 Se 0.332 0.332 0.925
9 Se 0.336 0.336 0.410
10 Se 0.664 0.664 0.590
11 Se 0.668 0.668 0.075
12 Se 0.997 0.997 0.253

Computed properties:
Space group ... No. 12
Formation energy from raw total energies ... -1.7462 eV/atom

Compound: LaNd2PuSe4
Source: the Alexandria database
Functional: PBE-GGA
Structure: relaxed

Lattice parameters (Å, degrees): 7.331 4.219 7.349 90.00 109.29 90.00
Fractional coordinates of all 8 atoms:
1 La 0.000 0.000 0.000
2 Nd 0.500 0.000 0.500
3 Nd 0.500 0.500 0.000
4 Pu 0.000 0.500 0.500
5 Se 0.246 0.000 0.743
6 Se 0.251 0.500 0.256
7 Se 0.749 0.500 0.744
8 Se 0.754 0.000 0.257

Computed properties:
Space group ... No. 10
Formation energy from raw total energies ... -1.8115 eV/atom

Compound: LaNdPuSn
Source: the Alexandria database
Functional: PBE-GGA
Structure: relaxed

Lattice parameters (Å, degrees): 5.543 5.543 5.543 60.00 60.00 60.00
Fractional coordinates of all 4 atoms:
1 La 0.000 0.000 0.000
2 Nd 0.500 0.500 0.500
3 Pu 0.250 0.250 0.250
4 Sn 0.750 0.750 0.750

Computed properties:
Formation energy from the elements ... -0.201 eV/atom
Space group ... No. 216

Compound: La4Nd3PuTe8
Source: the Alexandria database
Functional: PBE-GGA
Structure: relaxed

Lattice parameters (Å, degrees): 9.064 9.064 9.064 60.03 60.03 60.03
Fractional coordinates of all 16 atoms:
1 La 0.000 0.000 0.000
2 La 0.000 0.500 0.500
3 La 0.500 0.000 0.500
4 La 0.500 0.500 0.000
5 Nd 0.000 0.000 0.500
6 Nd 0.000 0.500 0.000
7 Nd 0.500 0.000 0.000
8 Pu 0.500 0.500 0.500
9 Te 0.248 0.248 0.248
10 Te 0.251 0.746 0.746
11 Te 0.254 0.254 0.749
12 Te 0.254 0.749 0.254
13 Te 0.746 0.251 0.746
14 Te 0.746 0.746 0.251
15 Te 0.749 0.254 0.254
16 Te 0.752 0.752 0.752

Computed properties:
Space group ... No. 166
Formation energy from raw total energies ... -1.4743 eV/atom